(1)
Density functional theory data (PBE-GGA) for a relaxed structure of ReTeCl2.

## Properties
- size of the total moment (μB per atom) = 0.72
- uncorrected formation energy (eV/atom) = 1.26
- energy (eV per atom) = -3.56
- symmetry = Fm-3m
- relative energy among the computed polymorphs (eV per atom) = 1.341

abc: 4.9494 4.9494 4.9494
angles: 60.00 60.00 60.00
With the nearest neighbours (Å) after each atom.
Fractional positions:
Cl 0.7500 0.7500 0.7500  4 Re 3.03, 4 Te 3.03
Cl 0.2500 0.2500 0.2500  4 Re 3.03, 4 Te 3.03
Re 0.0000 0.0000 0.0000  8 Cl 3.03
Te 0.5000 0.5000 0.5000  8 Cl 3.03

=====

(2)
Density functional theory data (PBE-GGA) for a relaxed structure of Sm6TmAl.

## Properties
- size of the total moment (μB per atom) = 0.00
- energy (eV per atom) = -4.55
- symmetry = C2/m
- relative energy among the computed polymorphs (eV per atom) = 0.082
- E_form (eV per formula unit) = 0.1

abc: 9.6685 8.3760 6.3783
angles: 48.96 59.77 39.92
With the nearest neighbours (Å) after each atom.
Fractional positions:
Al 0.5000 0.5000 0.0000  2 Tm 3.14, 6 Sm 3.14-3.43
Sm 0.7224 0.7454 0.3943  5 Sm 3.26-3.62, 1 Al 3.43, 1 Tm 3.61
Sm 0.7909 0.5494 0.0000  1 Al 3.14, 5 Sm 3.26-3.45, 1 Tm 3.32
Sm 0.2776 0.8603 0.3943  5 Sm 3.26-3.62, 1 Al 3.43, 1 Tm 3.61
Sm 0.7224 0.1397 0.6057  5 Sm 3.26-3.62, 1 Al 3.43, 1 Tm 3.61
Sm 0.2776 0.2546 0.6057  5 Sm 3.26-3.62, 1 Al 3.43, 1 Tm 3.61
Sm 0.2091 0.4506 0.0000  1 Al 3.14, 5 Sm 3.26-3.45, 1 Tm 3.32
Tm 0.0000 0.0000 0.0000  2 Al 3.14, 2 Sm 3.32

=====

(3)
Density functional theory data (PBE-GGA) for a relaxed structure of ScCo2CuH.

## Properties
- size of the total moment (μB per atom) = 0.13
- energy (eV per atom) = -5.71
- symmetry = P4/mmm

abc: 3.8085 3.8085 3.6930
angles: 90.00 90.00 90.00
With the nearest neighbours (Å) after each atom.
Fractional positions:
Sc 0.5000 0.5000 0.5000  8 Co 2.65, 4 Cu 2.69
Co 0.0000 0.5000 0.0000  2 H 1.90
Co 0.5000 0.0000 0.0000  2 H 1.90
Cu 0.0000 0.0000 0.5000  2 H 1.85
H 0.0000 0.0000 0.0000  2 Cu 1.85, 4 Co 1.90

=====

(4)
Density functional theory data (PBE-GGA) for a relaxed structure of KPbIF2.

## Properties
- size of the total moment (μB per atom) = 0.00
- uncorrected formation energy (eV/atom) = -2.02
- energy (eV per atom) = -4.04
- symmetry = P4mm

abc: 4.7357 4.7353 6.8310
angles: 90.00 90.00 90.00
With the nearest neighbours (Å) after each atom.
Fractional positions:
F 0.0000 0.5000 0.9149  2 Pb 2.44
F 0.5000 0.0000 0.9149  2 Pb 2.44
Pb 0.0000 0.0000 0.0009  4 F 2.44
I 0.0000 0.0000 0.4753  2 Pb 3.24-3.59
K 0.5000 0.5000 0.6939  4 F 2.81

=====

(5)
Density functional theory data (PBE-GGA) for a relaxed structure of NiIr2Ru.

## Properties
- size of the total moment (μB per atom) = 0.00
- energy (eV per atom) = -8.17
- symmetry = Pm
- relative energy among the computed polymorphs (eV per atom) = 0.034
- E_form (eV per formula unit) = 0.1

abc: 3.7738 2.7052 5.9631
angles: 63.10 90.00 90.00
With the nearest neighbours (Å) after each atom.
Fractional positions:
Ir 0.0000 0.0061 0.9939  2 Ni 2.62-2.69, 4 Ru 2.67, 6 Ir 2.71-2.72
Ir 0.5000 0.2399 0.2609  2 Ru 2.57-2.75, 4 Ni 2.65, 6 Ir 2.71-2.72
Ru 0.5000 0.7546 0.7445  6 Ir 2.57-2.75, 4 Ni 2.66, 2 Ru 2.71
Ni 0.0000 0.4994 0.5006  6 Ir 2.62-2.69, 4 Ru 2.66, 2 Ni 2.71

=====

(6)
Density functional theory data (PBE-GGA) for a relaxed structure of ScCO2.

## Properties
- size of the total moment (μB per atom) = 0.00
- uncorrected formation energy (eV/atom) = -0.54
- energy (eV per atom) = -6.91
- symmetry = R-3m

abc: 5.9061 5.9061 5.9061
angles: 28.11 28.11 28.11
With the nearest neighbours (Å) after each atom.
Fractional positions:
O 0.9231 0.9231 0.9231  1 C 1.31
O 0.0769 0.0769 0.0769  1 C 1.31
Sc 0.5000 0.5000 0.5000  6 O 2.25
C 0.0000 0.0000 0.0000  2 O 1.31

=====

(7)
Density functional theory data (PBE-GGA) for a relaxed structure of SrHfMg6O8.

## Properties
- size of the total moment (μB per atom) = 0.00
- uncorrected formation energy (eV/atom) = -2.35
- energy (eV per atom) = -6.15
- symmetry = P4/mmm
- relative energy among the computed polymorphs (eV per atom) = 0.042

abc: 4.5711 4.5711 8.9876
angles: 90.00 90.00 90.00
With the nearest neighbours (Å) after each atom.
Fractional positions:
O 0.5000 0.0000 0.0000  4 Mg 2.25-2.29, 2 Sr 2.29
O 0.5000 0.5000 0.7502  6 Mg 2.24-2.29
O 0.5000 0.5000 0.2498  6 Mg 2.24-2.29
O 0.0000 0.5000 0.0000  4 Mg 2.25-2.29, 2 Sr 2.29
O 0.0000 0.5000 0.5000  4 Mg 2.25-2.29, 2 Hf 2.29
O 0.0000 0.0000 0.2685  1 Hf 2.08, 4 Mg 2.29
O 0.0000 0.0000 0.7315  1 Hf 2.08, 4 Mg 2.29
O 0.5000 0.0000 0.5000  4 Mg 2.25-2.29, 2 Hf 2.29
Mg 0.0000 0.5000 0.7498  6 O 2.25-2.29
Mg 0.5000 0.0000 0.2502  6 O 2.25-2.29
Mg 0.5000 0.5000 0.0000  6 O 2.24-2.29
Mg 0.0000 0.5000 0.2502  6 O 2.25-2.29
Mg 0.5000 0.0000 0.7498  6 O 2.25-2.29
Mg 0.5000 0.5000 0.5000  6 O 2.25-2.29
Sr 0.0000 0.0000 0.0000  6 O 2.29-2.41
Hf 0.0000 0.0000 0.5000  6 O 2.08-2.29

=====

(8)
Density functional theory data (PBE-GGA) for a relaxed structure of CrTe2Rh.

## Properties
- size of the total moment (μB per atom) = 0.89
- uncorrected formation energy (eV/atom) = 0.25
- energy (eV per atom) = -5.56
- symmetry = I-4m2
- relative energy among the computed polymorphs (eV per atom) = 0.393

abc: 5.7801 5.7801 5.7801
angles: 139.56 139.56 58.52
With the nearest neighbours (Å) after each atom.
Fractional positions:
Te 0.2500 0.7500 0.5000  4 Rh 2.83
Te 0.0000 0.0000 0.0000  4 Cr 2.83
Cr 0.5000 0.5000 0.0000  4 Te 2.83
Rh 0.7500 0.2500 0.5000  4 Te 2.83

=====

(9)
Density functional theory data (PBE-GGA) for a relaxed structure of LiMnCuW2.

## Properties
- size of the total moment (μB per atom) = 0.00
- energy (eV per atom) = -6.33
- symmetry = P4/mmm
- E_form (eV per formula unit) = 9.5

abc: 4.5298 4.5298 4.3028
angles: 90.00 90.00 90.00
With the nearest neighbours (Å) after each atom.
Fractional positions:
W 0.0000 0.5000 0.0000  2 Cu 2.26
W 0.5000 0.0000 0.0000  2 Cu 2.26
Li 0.5000 0.5000 0.5000  8 W 3.12, 4 Mn 3.20
Mn 0.0000 0.0000 0.5000  2 Cu 2.15
Cu 0.0000 0.0000 0.0000  2 Mn 2.15, 4 W 2.26

=====

(10)
Density functional theory data (PBE-GGA) for a relaxed structure of BeInSn2Bi.

## Properties
- size of the total moment (μB per atom) = 0.00
- energy (eV per atom) = -3.42
- symmetry = P4/mmm
- E_form (eV per formula unit) = 1.2

abc: 5.0582 4.9919 5.0582
angles: 90.00 90.00 90.00
With the nearest neighbours (Å) after each atom.
Fractional positions:
In 0.0000 0.5000 0.0000  2 Be 2.50
Be 0.0000 0.0000 0.0000  2 In 2.50, 4 Sn 2.53
Sn 0.5000 0.0000 0.0000  2 Be 2.53
Sn 0.0000 0.0000 0.5000  2 Be 2.53
Bi 0.5000 0.5000 0.5000  8 Sn 3.55, 4 In 3.58

=====

(11)
Density functional theory data (PBE-GGA) for a relaxed structure of LaInAg2.

## Properties
- size of the total moment (μB per atom) = 0.03
- energy (eV per atom) = -3.52
- symmetry = Pmm2
- E_form (eV per formula unit) = -0.7

abc: 3.5287 3.5901 7.5218
angles: 90.00 90.00 90.00
With the nearest neighbours (Å) after each atom.
Fractional positions:
La 0.5000 0.5000 0.7605  5 Ag 3.30-3.64, 4 In 3.42, 4 La 3.53-3.59
Ag 0.0000 0.0000 0.0433  4 Ag 2.94, 1 In 3.07
Ag 0.5000 0.5000 0.2443  4 Ag 2.94, 4 In 2.96
In 0.0000 0.0000 0.4519  5 Ag 2.96-3.07

=====

(12)
Density functional theory data (PBE-GGA) for a relaxed structure of Y2WCl.

## Properties
- size of the total moment (μB per atom) = 0.00
- uncorrected formation energy (eV/atom) = 0.38
- energy (eV per atom) = -6.55
- symmetry = I-4m2
- relative energy among the computed polymorphs (eV per atom) = 0.762

abc: 6.3680 6.3680 6.3680
angles: 142.97 142.97 53.37
With the nearest neighbours (Å) after each atom.
Fractional positions:
Y 0.0000 0.0000 0.0000  4 Cl 2.86
Y 0.2500 0.7500 0.5000  4 W 2.86
W 0.7500 0.2500 0.5000  4 Y 2.86
Cl 0.5000 0.5000 0.0000  4 Y 2.86

=====

Please write out number 9 again, unchanged.
Density functional theory data (PBE-GGA) for a relaxed structure of LiMnCuW2.

## Properties
- size of the total moment (μB per atom) = 0.00
- energy (eV per atom) = -6.33
- symmetry = P4/mmm
- E_form (eV per formula unit) = 9.5

abc: 4.5298 4.5298 4.3028
angles: 90.00 90.00 90.00
With the nearest neighbours (Å) after each atom.
Fractional positions:
W 0.0000 0.5000 0.0000  2 Cu 2.26
W 0.5000 0.0000 0.0000  2 Cu 2.26
Li 0.5000 0.5000 0.5000  8 W 3.12, 4 Mn 3.20
Mn 0.0000 0.0000 0.5000  2 Cu 2.15
Cu 0.0000 0.0000 0.0000  2 Mn 2.15, 4 W 2.26

=====

- What is the formula in the fourth record?
  KPbIF2